Entry 1:
Entry from the Alexandria database: a relaxed ScTeAu3 crystal (PBE).

Values from the calculation:
spin magnetization: 0.0 μB per cell
space group: Pm-3m
formation energy without anion corrections: 472 meV per atom
energy above the lowest structure with this stoichiometry: 0.015 eV per formula unit

Structure (POSCAR):
```
ScTeAu3
1.0
-3.7282 3.5315 0.1141
-3.2109 -3.4554 2.0332
1.4746 1.4044 4.7156
Au Te Sc
3 1 1
Direct
0.0000 0.5000 0.0000 Au
0.0000 0.0000 0.5000 Au
0.5000 0.0000 0.0000 Au
0.5000 0.5000 0.5000 Te
0.0000 0.0000 0.0000 Sc
```

Entry 2:
Entry from the Alexandria database: a relaxed BaSrSiAs2 crystal (PBE).

Values from the calculation:
spin magnetization: 0.0 μB per cell
space group: P2/c
formation energy without anion corrections: -538 meV per atom

Structure (POSCAR):
```
BaSrSiAs2
1.0
5.2791 0.0000 0.0000
0.0000 7.5650 -0.0172
0.0000 -2.3111 8.1011
Ba As Sr Si
2 4 2 2
Direct
0.2254 0.5000 0.7500 Ba
0.7746 0.5000 0.2500 Ba
0.7488 0.2663 0.5514 As
0.2512 0.7337 0.4486 As
0.2512 0.2663 0.0514 As
0.7488 0.7337 0.9486 As
0.4676 0.0000 0.2500 Sr
0.5324 0.0000 0.7500 Sr
0.0000 0.0000 0.0000 Si
0.0000 0.0000 0.5000 Si
```

Entry 3:
Entry from the Alexandria database: a relaxed Sm6DyCd crystal (PBE).

Values from the calculation:
spin magnetization: 0.0 μB per cell
space group: R-3
energy above the lowest structure with this stoichiometry: 0.606 eV per formula unit
calculated formation energy: 30 kJ/mol of formula units

Structure (POSCAR):
```
Sm6DyCd
1.0
9.4319 -0.0027 0.2651
4.7194 7.2664 -0.1583
4.6106 2.2577 3.8298
Cd Dy Sm
1 1 6
Direct
0.0000 0.0000 0.0000 Cd
0.5000 0.5000 0.5000 Dy
0.2408 0.0434 0.2647 Sm
0.7592 0.9566 0.7353 Sm
0.9561 0.5485 0.2547 Sm
0.0439 0.4515 0.7453 Sm
0.5491 0.2406 0.1670 Sm
0.4509 0.7594 0.8330 Sm
```

Entry 4:
Entry from the Alexandria database: a relaxed PuHPd3 crystal (PBE).

Values from the calculation:
spin magnetization: 10.4 μB per cell
space group: R3m
energy above the lowest structure with this stoichiometry: 0.000 eV per formula unit

Structure (POSCAR):
```
PuHPd3
1.0
5.2206 -0.0283 -2.9476
1.7872 4.8796 -2.9977
-0.0664 0.0063 5.9985
Pd Pu H
6 2 2
Direct
0.5002 0.1184 0.4169 Pd
0.0005 0.6183 0.9171 Pd
0.9840 0.6345 0.4168 Pd
0.9840 0.1184 0.9008 Pd
0.4842 0.6185 0.4009 Pd
0.4841 0.1345 0.9167 Pd
0.4904 0.6248 0.9105 Pu
0.9904 0.1248 0.4106 Pu
0.1746 0.3088 0.2264 H
0.6750 0.8085 0.7269 H
```

Entry 5:
Entry from the Alexandria database: a relaxed Nd4Sm2Pb3N2 crystal (PBE).

Values from the calculation:
spin magnetization: 0.0 μB per cell
space group: I4/mmm
formation energy without anion corrections: -834 meV per atom

Structure (POSCAR):
```
Nd4Sm2Pb3N2
1.0
4.8959 0.0000 0.0000
0.0000 4.8959 0.0000
-2.4479 -2.4479 13.0517
Sm Nd Pb N
2 4 3 2
Direct
0.6924 0.6924 0.3847 Sm
0.3076 0.3076 0.6153 Sm
0.9151 0.4151 0.8302 Nd
0.0849 0.5849 0.1698 Nd
0.5849 0.0849 0.1698 Nd
0.4151 0.9151 0.8302 Nd
0.1792 0.1792 0.3584 Pb
0.8208 0.8208 0.6416 Pb
0.0000 0.0000 0.0000 Pb
0.6049 0.6049 0.2098 N
0.3951 0.3951 0.7902 N
```

Entry 6:
Entry from the Alexandria database: a relaxed Ca6As3N crystal (PBE).

Values from the calculation:
spin magnetization: 0.0 μB per cell
space group: C2/m
formation energy without anion corrections: -1028 meV per atom

Structure (POSCAR):
```
Ca6As3N
1.0
7.1904 -0.0828 -0.0585
3.3705 6.2173 0.0641
3.3705 2.1382 5.8384
As Ca N
3 6 1
Direct
0.2772 0.2422 0.2422 As
0.0000 0.0000 0.0000 As
0.7228 0.7578 0.7578 As
0.3388 0.6722 0.1954 Ca
0.3388 0.1954 0.6722 Ca
0.8427 0.2693 0.2693 Ca
0.6612 0.8046 0.3278 Ca
0.1573 0.7307 0.7307 Ca
0.6612 0.3278 0.8046 Ca
0.5000 0.5000 0.5000 N
```

Entry 7:
Entry from the Alexandria database: a relaxed RbCa2HgRh crystal (PBE).

Values from the calculation:
spin magnetization: 0.0 μB per cell
space group: P4/mmm
energy above the lowest structure with this stoichiometry: 0.000 eV per formula unit
calculated formation energy: -89 kJ/mol of formula units

Structure (POSCAR):
```
RbCa2HgRh
1.0
5.4981 0.0000 0.0000
0.0000 5.4981 0.0000
0.0000 0.0000 5.5840
Rh Hg Rb Ca
1 1 1 2
Direct
0.0000 0.0000 0.0000 Rh
0.0000 0.0000 0.5000 Hg
0.5000 0.5000 0.5000 Rb
0.0000 0.5000 0.0000 Ca
0.5000 0.0000 0.0000 Ca
```

Entry 8:
Entry from the Alexandria database: a relaxed K2CdInAu crystal (PBE).

Values from the calculation:
spin magnetization: 0.1 μB per cell
space group: P4/mmm
calculated formation energy: -19 kJ/mol of formula units

Structure (POSCAR):
```
K2CdInAu
1.0
6.3793 0.0000 0.0000
0.0000 6.3793 0.0000
0.0000 0.0000 5.2344
Au K In Cd
1 2 1 1
Direct
0.0000 0.0000 0.0000 Au
0.0000 0.5000 0.0000 K
0.5000 0.0000 0.0000 K
0.0000 0.0000 0.5000 In
0.5000 0.5000 0.5000 Cd
```

Question: What is the spin magnetization in the sixth record?
Answer: 0.0 μB per cell